No. 1
Compound: VMo2S4
Source: Alexandria
Functional: SCAN
Structure: PBEsol geometry

Values from the calculation:
E_tot   -18.861 eV/atom
Energy relative to the elements, uncorrected   -894 meV/atom
SG   C2/m
Crystal system   monoclinic

Cell and atoms, written as extended XYZ:
```
14
Lattice="12.5404 0.0000 0.0000 0.0000 3.1438 0.0000 -2.4467 0.0000 5.4250" Properties=species:S:1:pos:R:3 pbc="T T T"
V 0.0000 0.0000 0.0000
V 6.2702 1.5719 0.0000
Mo 1.3417 1.5719 3.7174
Mo 2.4818 0.0000 1.7075
Mo 7.6118 0.0000 3.7174
Mo 8.7520 1.5719 1.7075
S 0.2100 0.0000 2.3635
S -0.6664 1.5719 5.2623
S 4.4899 0.0000 0.1627
S 3.6135 1.5719 3.0614
S 6.4801 1.5719 2.3635
S 5.6037 0.0000 5.2623
S 10.7601 1.5719 0.1627
S 9.8837 0.0000 3.0614
```

=====

No. 2
Compound: CuTc2W
Source: Alexandria
Functional: SCAN
Structure: PBEsol geometry

Values from the calculation:
E_tot   -38.576 eV/atom
SG   Pmm2
Crystal system   orthorhombic
Energy relative to the lowest polymorph listed for this composition   7.7 meV per atom
ΔH_f (0 K)   0.18 eV per atom

Cell and atoms, written as extended XYZ:
```
4
Lattice="2.7140 0.0000 0.0000 0.0000 3.8520 0.0000 0.0000 0.0000 5.2947" Properties=species:S:1:pos:R:3 pbc="T T T"
Cu 0.0000 0.0000 0.0000
Tc 0.0000 0.0000 2.5928
Tc 1.3570 1.9260 1.3511
W 1.3570 1.9260 3.9827
```

=====

No. 3
Compound: RePPt
Source: Alexandria
Functional: SCAN
Structure: PBEsol geometry

Values from the calculation:
E_tot   -49.737 eV/atom
SG   F-43m
Crystal system   cubic
ΔH_f (0 K)   0.83 eV per atom

Cell and atoms, written as extended XYZ:
```
12
Lattice="5.8712 0.0000 0.0000 0.0000 5.8712 0.0000 0.0000 0.0000 5.8712" Properties=species:S:1:pos:R:3 pbc="T T T"
Re 0.0000 0.0000 0.0000
Re 0.0000 2.9356 2.9356
Re 2.9356 0.0000 2.9356
Re 2.9356 2.9356 0.0000
P 0.0000 0.0000 2.9356
P 0.0000 2.9356 0.0000
P 2.9356 0.0000 0.0000
P 2.9356 2.9356 2.9356
Pt 1.4678 1.4678 1.4678
Pt 1.4678 4.4034 4.4034
Pt 4.4034 1.4678 4.4034
Pt 4.4034 4.4034 1.4678
```

=====

No. 4
Compound: YTl3Br
Source: Alexandria
Functional: SCAN
Structure: PBEsol geometry

Values from the calculation:
E_tot   -52.654 eV/atom
Energy relative to the elements, uncorrected   222 meV/atom
SG   Pm-3m
Crystal system   cubic

Cell and atoms, written as extended XYZ:
```
5
Lattice="5.9407 0.0000 0.0000 0.0000 5.9407 0.0000 0.0000 0.0000 5.9407" Properties=species:S:1:pos:R:3 pbc="T T T"
Y 0.0000 0.0000 0.0000
Tl 0.0000 0.0000 2.9704
Tl 0.0000 2.9704 0.0000
Tl 2.9704 0.0000 0.0000
Br 2.9704 2.9704 2.9704
```